Record 1
A relaxed CaNd2Dy4 crystal. Source: the Alexandria database, functional GGA-PBE.

**Space group**: No. 166
**Size of the total moment**: 0.00 μB/cell
**Formation energy from the elements**: 47 meV/atom

a b c (Å): 20.993 20.993 20.993
angles (deg): 9.87 9.87 9.87
Atoms (fractional coordinates):
Ca1 0.000 0.000 0.000
Nd1 0.430 0.430 0.430
Nd2 0.570 0.570 0.570
Dy1 0.144 0.144 0.144
Dy2 0.283 0.283 0.283
Dy3 0.717 0.717 0.717
Dy4 0.856 0.856 0.856



Record 2
A relaxed HRuNF2 crystal. Source: the Alexandria database, functional GGA-PBE.

**Space group**: No. 123
**Size of the total moment**: 0.48 μB/cell
**Energy above the lowest structure with this stoichiometry**: 245 meV/atom

a b c (Å): 2.940 2.940 5.341
angles (deg): 90.00 90.00 90.00
Atoms (fractional coordinates):
H1 0.000 0.000 0.000
Ru1 0.500 0.500 0.500
N1 0.000 0.000 0.500
F1 0.000 0.500 0.000
F2 0.500 0.000 0.000



Record 3
A relaxed SrOs2Se crystal. Source: the Alexandria database, functional GGA-PBE.

**Space group**: No. 38
**Size of the total moment**: 0.00 μB/cell
**Formation energy from raw total energies**: 207 meV/atom

a b c (Å): 3.599 7.580 7.580
angles (deg): 22.77 90.00 90.00
Atoms (fractional coordinates):
Sr1 0.000 0.000 0.000
Os1 0.000 0.233 0.233
Os2 0.500 0.657 0.657
Se1 0.500 0.359 0.359



Record 4
A relaxed Al2FeRh crystal. Source: the Alexandria database, functional GGA-PBE.

**Space group**: No. 8
**Size of the total moment**: 1.84 μB/cell
**Formation energy from the elements**: -551 meV/atom

a b c (Å): 4.796 4.796 4.317
angles (deg): 106.40 106.40 34.31
Atoms (fractional coordinates):
Al1 0.000 0.000 0.000
Al2 0.234 0.234 0.634
Fe1 0.742 0.742 0.131
Rh1 0.491 0.491 0.496



Record 5
A relaxed HfSnPtAu crystal. Source: the Alexandria database, functional GGA-PBE.

**Space group**: No. 216
**Size of the total moment**: 0.00 μB/cell
**Formation energy from the elements**: -533 meV/atom

a b c (Å): 4.775 4.775 4.775
angles (deg): 60.00 60.00 60.00
Atoms (fractional coordinates):
Hf1 0.000 0.000 0.000
Sn1 0.500 0.500 0.500
Pt1 0.750 0.750 0.750
Au1 0.250 0.250 0.250



Record 6
A relaxed Sm3DyTh4S8 crystal. Source: the Alexandria database, functional GGA-PBE.

**Space group**: No. 166
**Size of the total moment**: 0.00 μB/cell
**Formation energy from raw total energies**: -1923 meV/atom

a b c (Å): 8.124 8.124 8.124
angles (deg): 58.37 58.37 58.37
Atoms (fractional coordinates):
Sm1 0.000 0.500 0.500
Sm2 0.500 0.000 0.500
Sm3 0.500 0.500 0.000
Dy1 0.000 0.000 0.000
Th1 0.000 0.000 0.500
Th2 0.000 0.500 0.000
Th3 0.500 0.000 0.000
Th4 0.500 0.500 0.500
S1 0.245 0.245 0.751
S2 0.245 0.751 0.245
S3 0.249 0.755 0.755
S4 0.252 0.252 0.252
S5 0.748 0.748 0.748
S6 0.751 0.245 0.245
S7 0.755 0.249 0.755
S8 0.755 0.755 0.249



Q: Among the records above, which one has the highest size of the total moment?
A: Al2FeRh



Q: Which value of size of the total moment does entry 6 give?
A: 0.00 μB/cell



Q: Which value of size of the total moment does entry 1 give?
A: 0.00 μB/cell



Q: Number 2 is which compound?
A: HRuNF2